Entry 1:
The following is a DFT calculation (PBE-GGA) of crystalline Ho2HgTe at its relaxed geometry.

Formation energy without anion corrections ... -69.4 kJ per mole of atoms
Space group ... No. 123
Total magnetization ... 0.4 μB/cell
VASP energy ... -3.8695 eV per atom
ΔE to the lowest computed polymorph ... 123 meV per atom

Unit cell a=3.8542 b=3.8542 c=7.0484 alpha=90.00 beta=90.00 gamma=90.00
Site moments in Bohr magnetons follow the coordinates.
Element x y z (fractional)
Ho  0.0000  0.0000  0.7508  0.13
Ho  0.0000  0.0000  0.2492  0.13
Hg  0.5000  0.5000  0.0000  0.00
Te  0.5000  0.5000  0.5000  -0.01

=====

Entry 2:
The following is a DFT calculation (PBE-GGA) of crystalline Ho3HgTe at its relaxed geometry.

Formation energy without anion corrections ... -55.2 kJ per mole of atoms
Space group ... No. 51
Total magnetization ... 0.0 μB/cell
VASP energy ... -4.0079 eV per atom

Unit cell a=4.4477 b=11.0531 c=6.2982 alpha=90.00 beta=90.00 gamma=90.00
Element x y z (fractional)
Ho  0.0000  0.2925  0.3110
Ho  0.5000  0.8198  0.3108
Te  0.5000  0.8982  0.8108
Ho  0.5000  0.5000  0.0610
Te  0.5000  0.1018  0.3108
Hg  0.0000  0.3595  0.8110
Ho  0.5000  0.5000  0.5610
Ho  0.5000  0.1802  0.8108
Ho  0.0000  0.7075  0.8110
Hg  0.0000  0.6405  0.3110

=====

Entry 3:
The following is a DFT calculation (PBE-GGA) of crystalline HoHgTe2 at its relaxed geometry.

Formation energy without anion corrections ... -72.5 kJ per mole of atoms
Space group ... No. 166
Total magnetization ... 0.0 μB/cell
VASP energy ... -3.5425 eV per atom
ΔE to the lowest computed polymorph ... 8 meV per atom

Unit cell a=4.4514 b=4.4514 c=9.6037 alpha=76.60 beta=76.60 gamma=60.00
Element x y z (fractional)
Ho  0.5000  0.5000  0.5000
Te  0.1064  0.1064  0.6809
Hg  0.0000  0.0000  0.0000
Te  0.8936  0.8936  0.3191

=====

Entry 4:
The following is a DFT calculation (PBE-GGA) of crystalline Ho5HgTe2 at its relaxed geometry.

Formation energy without anion corrections ... -49.9 kJ per mole of atoms
Space group ... No. 63
Total magnetization ... 0.0 μB/cell
VASP energy ... -4.2018 eV per atom

Unit cell a=5.9576 b=6.9730 c=13.0723 alpha=90.00 beta=90.00 gamma=115.29
Element x y z (fractional)
Ho  0.3793  0.7585  0.7500
Hg  0.2542  0.5083  0.2500
Ho  0.3840  0.7680  0.4425
Ho  0.0524  0.1048  0.1135
Ho  0.0524  0.1048  0.3865
Ho  0.6160  0.2320  0.9425
Ho  0.3840  0.7680  0.0575
Te  0.1893  0.3786  0.5897
Te  0.1893  0.3786  0.9103
Ho  0.9476  0.8952  0.6135
Te  0.8107  0.6214  0.0897
Ho  0.6207  0.2415  0.2500
Te  0.8107  0.6214  0.4103
Ho  0.9476  0.8952  0.8865
Ho  0.6160  0.2320  0.5575
Hg  0.7458  0.4917  0.7500

=====

Entry 5:
The following is a DFT calculation (PBE-GGA) of crystalline Ho7Hg2Te2 at its relaxed geometry.

Formation energy without anion corrections ... -63.1 kJ per mole of atoms
Space group ... No. 44
Total magnetization ... 0.0 μB/cell
VASP energy ... -4.1927 eV per atom
ΔE to the lowest computed polymorph ... 0 meV per atom

Unit cell a=4.3107 b=9.2362 c=9.2362 alpha=62.78 beta=76.51 gamma=76.51
Element x y z (fractional)
Ho  0.1841  0.7121  0.9196
Ho  0.8159  0.0804  0.2879
Te  0.5000  0.3572  0.6428
Ho  0.5000  0.0133  0.9867
Hg  0.2668  0.3259  0.1405
Ho  0.6259  0.4847  0.2635
Hg  0.7332  0.8595  0.6741
Ho  0.3741  0.7365  0.5153
Ho  0.8621  0.4033  0.8725
Ho  0.1379  0.1275  0.5967
Te  0.0000  0.7535  0.2465

=====

Entry 6:
The following is a DFT calculation (PBE-GGA) of crystalline HoHgTe at its relaxed geometry.

Formation energy without anion corrections ... -73.7 kJ per mole of atoms
Space group ... No. 166
Total magnetization ... 0.0 μB/cell
VASP energy ... -3.4374 eV per atom
ΔE to the lowest computed polymorph ... 0 meV per atom

Unit cell a=4.9766 b=4.9766 c=8.8090 alpha=73.59 beta=73.59 gamma=60.00
Element x y z (fractional)
Te  0.2872  0.2872  0.1384
Te  0.7128  0.7128  0.8616
Hg  0.1558  0.1558  0.5327
Hg  0.8442  0.8442  0.4673
Ho  0.5784  0.5784  0.2648
Ho  0.4216  0.4216  0.7352

=====

Entry 7:
The following is a DFT calculation (PBE-GGA) of crystalline HoHgTe at its relaxed geometry.

Formation energy without anion corrections ... -64.6 kJ per mole of atoms
Space group ... No. 123
Total magnetization ... 0.0 μB/cell
VASP energy ... -3.3430 eV per atom
ΔE to the lowest computed polymorph ... 94 meV per atom

Unit cell a=4.2638 b=4.2654 c=6.1992 alpha=90.00 beta=90.00 gamma=90.00
Element x y z (fractional)
Ho  0.0900  0.7723  0.0000
Te  0.5899  0.2723  0.0000
Hg  0.0910  0.7723  0.5000

=====

Entry 8:
The following is a DFT calculation (PBE-GGA) of crystalline Ho2HgTe at its relaxed geometry.

Formation energy without anion corrections ... -74.0 kJ per mole of atoms
Space group ... No. 160
Total magnetization ... 0.0 μB/cell
VASP energy ... -3.9163 eV per atom
ΔE to the lowest computed polymorph ... 77 meV per atom

Unit cell a=4.0178 b=4.0178 c=8.5447 alpha=76.40 beta=76.40 gamma=60.00
Element x y z (fractional)
Ho  0.2500  0.2500  0.2501
Ho  0.0830  0.0830  0.7509
Te  0.6676  0.6676  0.9972
Hg  0.4994  0.4994  0.5018

=====

Entry 9:
The following is a DFT calculation (PBE-GGA) of crystalline Ho6HgTe5 at its relaxed geometry.

Formation energy without anion corrections ... -111.4 kJ per mole of atoms
Space group ... No. 12
Total magnetization ... 0.0 μB/cell
VASP energy ... -4.7777 eV per atom

Unit cell a=7.5118 b=7.5461 c=7.5286 alpha=59.92 beta=80.42 gamma=70.60
Element x y z (fractional)
Te  0.5000  0.1751  0.6499
Ho  0.2372  0.9220  0.6817
Ho  0.7546  0.7661  0.0000
Ho  0.2372  0.6037  0.3183
Hg  0.0000  0.0000  0.0000
Ho  0.7628  0.0780  0.3183
Te  0.5000  0.5000  0.0000
Te  0.5000  0.8249  0.3501
Ho  0.2454  0.2339  0.0000
Te  0.0000  0.3359  0.3282
Ho  0.7628  0.3963  0.6817
Te  0.0000  0.6641  0.6718

=====

Entry 10:
The following is a DFT calculation (PBE-GGA) of crystalline Ho4HgTe at its relaxed geometry.

Formation energy without anion corrections ... -55.4 kJ per mole of atoms
Space group ... No. 62
Total magnetization ... 0.0 μB/cell
VASP energy ... -4.2003 eV per atom
ΔE to the lowest computed polymorph ... 0 meV per atom

Unit cell a=3.9331 b=8.4684 c=20.0099 alpha=90.00 beta=90.00 gamma=90.00
Element x y z (fractional)
Ho  0.2500  0.1614  0.3417
Ho  0.2500  0.6614  0.1583
Ho  0.7500  0.4847  0.2823
Ho  0.2500  0.5153  0.7177
Te  0.2500  0.7840  0.3122
Te  0.7500  0.2160  0.6878
Ho  0.7500  0.9742  0.9265
Ho  0.2500  0.1220  0.5652
Ho  0.7500  0.3780  0.0652
Ho  0.2500  0.0258  0.0735
Ho  0.2500  0.0153  0.7823
Ho  0.7500  0.9847  0.2177
Ho  0.7500  0.8780  0.4348
Ho  0.2500  0.6220  0.9348
Hg  0.7500  0.7442  0.0464
Ho  0.7500  0.8386  0.6583
Te  0.2500  0.2840  0.1878
Te  0.7500  0.7160  0.8122
Hg  0.7500  0.2442  0.4536
Hg  0.2500  0.2558  0.9536
Ho  0.7500  0.3386  0.8417
Hg  0.2500  0.7558  0.5464
Ho  0.7500  0.4742  0.5735
Ho  0.2500  0.5258  0.4265

=====

Entry 11:
The following is a DFT calculation (PBE-GGA) of crystalline Ho7Hg2Te2 at its relaxed geometry.

Formation energy without anion corrections ... -32.4 kJ per mole of atoms
Space group ... No. 12
Total magnetization ... 0.0 μB/cell
VASP energy ... -3.8747 eV per atom
ΔE to the lowest computed polymorph ... 318 meV per atom

Unit cell a=6.7429 b=7.6055 c=6.7429 alpha=89.93 beta=106.40 gamma=90.07
Element x y z (fractional)
Ho  0.5007  0.7172  0.0003
Ho  0.4993  0.2828  0.9997
Ho  0.9997  0.7172  0.4993
Te  0.2818  0.9996  0.7182
Ho  0.0000  0.0000  0.0000
Ho  0.4999  0.7305  0.5001
Hg  0.8186  0.5000  0.8186
Ho  0.0003  0.2828  0.5007
Te  0.7182  0.0004  0.2818
Hg  0.1814  0.5000  0.1814
Ho  0.5001  0.2695  0.4999

=====

Entry 12:
The following is a DFT calculation (PBE-GGA) of crystalline HoHg2Te at its relaxed geometry.

Formation energy without anion corrections ... 10.7 kJ per mole of atoms
Space group ... No. 166
Total magnetization ... 0.0 μB/cell
VASP energy ... -1.9700 eV per atom

Unit cell a=3.4913 b=3.4913 c=11.5857 alpha=81.33 beta=81.33 gamma=60.00
Element x y z (fractional)
Ho  0.0000  0.0000  0.0000
Hg  0.9122  0.9122  0.2635
Hg  0.0878  0.0878  0.7365
Te  0.5000  0.5000  0.5000